# Tb3Zn2Ir7

A geometry-optimized Tb3Zn2Ir7 structure (PBE-GGA, Alexandria).

Cell: 8.925 8.925 8.925 Å, 35.35 35.35 35.35°
Fractional coordinates of all 12 atoms:
1 Tb 0.000 0.000 0.000
2 Tb 0.141 0.141 0.141
3 Tb 0.859 0.859 0.859
4 Zn 0.335 0.335 0.335
5 Zn 0.665 0.665 0.665
6 Ir 0.076 0.587 0.587
7 Ir 0.413 0.413 0.924
8 Ir 0.413 0.924 0.413
9 Ir 0.500 0.500 0.500
10 Ir 0.587 0.076 0.587
11 Ir 0.587 0.587 0.076
12 Ir 0.924 0.413 0.413

Calculated values
SG: R-3m
Size of the total moment (μB/cell): 0.0
Formation energy (eV/atom): -0.65